Record 1
# TaMn2Cl PBE-GGA optimized geometry
# - distance to the lowest polymorph of the same formula (meV/atom) = 157
# - energy relative to the elements, uncorrected (eV/atom) = 0.1878
data_TaMn2Cl
_chemical_formula_sum 'Ta3 Mn6 Cl3'
_space_group_name_H-M_alt 'R 3 m'
_space_group_IT_number 160
_space_group_name_Hall 'R 3 -2"'
_cell_length_a 3.1400
_cell_length_b 3.1400
_cell_length_c 25.0397
_cell_angle_alpha 90.00
_cell_angle_beta 90.00
_cell_angle_gamma 120.00
loop_
_atom_site_label
_atom_site_fract_x
_atom_site_fract_y
_atom_site_fract_z
_atom_site_occupancy
Ta1 0.0000 0.0000 0.0000 1
Mn1 0.0000 0.0000 0.4710 1
Mn2 0.0000 0.0000 0.7318 1
Cl1 0.0000 0.0000 0.2561 1

Record 2
# TbNd3Sm6Dy2 PBE-GGA optimized geometry
# - formation enthalpy at 0 K (kcal/mol of atoms) = 0.35
data_TbNd3Sm6Dy2
_chemical_formula_sum 'Tb2 Nd6 Sm12 Dy4'
_space_group_name_H-M_alt 'C 1 2/m 1'
_space_group_IT_number 12
_space_group_name_Hall '-C 2y'
_cell_length_a 6.276
_cell_length_b 10.871
_cell_length_c 12.005
_cell_angle_alpha 90.00
_cell_angle_beta 100.05
_cell_angle_gamma 90.00
loop_
_atom_site_label
_atom_site_fract_x
_atom_site_fract_y
_atom_site_fract_z
_atom_site_occupancy
Tb1 0.000 0.000 0.000 1
Nd1 0.000 0.167 0.500 1
Nd2 0.000 0.500 0.500 1
Sm1 0.249 0.167 0.246 1
Sm2 0.249 0.500 0.246 1
Dy1 0.000 0.333 0.000 1

Record 3
# Cs3LaPm2Se6 PBE-GGA optimized geometry
# - energy relative to the elements, uncorrected (eV/atom) = -1.7583
data_Cs3LaPm2Se6
_chemical_formula_sum 'Cs6 La2 Pm4 Se12'
_space_group_name_H-M_alt 'C 1 2/m 1'
_space_group_IT_number 12
_space_group_name_Hall '-C 2y'
_cell_length_a 7.646
_cell_length_b 13.242
_cell_length_c 8.778
_cell_angle_alpha 90.00
_cell_angle_beta 106.88
_cell_angle_gamma 90.00
loop_
_atom_site_label
_atom_site_fract_x
_atom_site_fract_y
_atom_site_fract_z
_atom_site_occupancy
Cs1 0.000 0.000 0.000 1
Cs2 0.000 0.334 0.000 1
La1 0.000 0.500 0.500 1
Pm1 0.000 0.167 0.500 1
Se1 0.225 0.000 0.690 1
Se2 0.233 0.331 0.690 1

Record 4
# NaIF2 PBE-GGA optimized geometry
# - distance to the lowest polymorph of the same formula (meV/atom) = 703
# - energy relative to the elements, uncorrected (eV/atom) = -1.0450
data_NaIF2
_chemical_formula_sum 'Na3 I3 F6'
_space_group_name_H-M_alt 'R -3 m'
_space_group_IT_number 166
_space_group_name_Hall '-R 3 2"'
_cell_length_a 3.5091
_cell_length_b 3.5091
_cell_length_c 24.5727
_cell_angle_alpha 90.00
_cell_angle_beta 90.00
_cell_angle_gamma 120.00
loop_
_atom_site_label
_atom_site_fract_x
_atom_site_fract_y
_atom_site_fract_z
_atom_site_occupancy
Na1 0.0000 0.0000 0.0000 1
I1 0.0000 0.0000 0.5000 1
F1 0.0000 0.0000 0.0827 1

| no. | total magnetization (μB/f.u.) |
| --- | --- |
| 1 | 4.427 |
| 2 | 0.000 |
| 3 | 0.000 |
| 4 | 1.323 |